DFT (GGA-PBE) results for LaCuSN2 after structural relaxation.

Cell: 4.036 4.036 6.219 Å, 90.00 90.00 90.00°
Atoms (fractional coordinates):
S 0.000 0.000 0.500
N 0.000 0.500 0.000
N 0.500 0.000 0.000
Cu 0.500 0.500 0.500
La 0.000 0.000 0.000

Calculated values
**Density of states at the Fermi level**: 1.71 states/eV/cell
**Energy above the lowest structure with this stoichiometry**: 0.892 eV/atom
**Energy relative to the elements, uncorrected**: 1048 meV/atom
**Calculated total energy**: -4.912 eV per atom